PBE+U K3CdMo2O8, optimized geometry; D(E_F) = 2.269 states/eV/cell; magnetic moment = 1.03 Bohr magnetons per cell; VASP energy = -5.786 eV/atom
1.0
6.215 0.000 0.000
-3.107 5.382 0.000
0.000 0.000 7.916
K Cd Mo O
3 1 2 8
direct
0.000 0.000 0.000
0.333 0.667 0.660
0.667 0.333 0.340
0.000 0.000 0.500
0.333 0.667 0.208
0.667 0.333 0.792
0.176 0.352 0.292
0.176 0.824 0.292
0.333 0.667 0.983
0.352 0.176 0.708
0.648 0.824 0.292
0.667 0.333 0.017
0.824 0.176 0.708
0.824 0.648 0.708